Entry 1:
The following is a DFT calculation (GGA-PBE) of Al2CoNi9 after structural relaxation.

Properties
Formation energy ... -0.23 eV/atom
Volume ... 11.2 Å³ per atom
Magnetic moment ... 4.09 μB per cell

abc: 4.305 5.681 6.141
angles: 68.47 88.66 74.90
Atoms (fractional coordinates):
Al1 0.091 0.233 0.086
Al2 0.909 0.767 0.914
Co1 0.000 0.000 0.500
Ni1 0.161 0.503 0.668
Ni2 0.259 0.740 0.256
Ni3 0.330 0.005 0.828
Ni4 0.421 0.246 0.419
Ni5 0.500 0.500 0.000
Ni6 0.579 0.754 0.581
Ni7 0.670 0.995 0.172
Ni8 0.741 0.260 0.744
Ni9 0.839 0.497 0.332

Entry 2:
The following is a DFT calculation (GGA-PBE) of Dy4CS2N after structural relaxation.

Properties
Raw formation energy ... -154.5 kJ/mol of atoms
Volume ... 18.3 Å³ per atom
Magnetic moment ... 0.00 μB per cell

abc: 6.354 3.675 6.631
angles: 90.00 108.63 90.00
Atoms (fractional coordinates):
Dy1 0.237 0.000 0.214
Dy2 0.262 0.500 0.789
Dy3 0.738 0.500 0.211
Dy4 0.763 0.000 0.786
C1 0.000 0.500 0.000
S1 0.000 0.000 0.500
S2 0.500 0.500 0.500
N1 0.500 0.000 0.000

Entry 3:
The following is a DFT calculation (GGA-PBE) of Mg2RhAu after structural relaxation.

Properties
Formation energy ... -0.19 eV/atom
Volume ... 18.1 Å³ per atom
Magnetic moment ... 0.00 μB per cell

abc: 5.791 5.791 5.791
angles: 104.17 104.17 120.70
Atoms (fractional coordinates):
Mg1 0.118 0.625 0.993
Mg2 0.375 0.368 0.493
Mg3 0.632 0.125 0.007
Mg4 0.875 0.882 0.507
Rh1 0.000 0.000 0.000
Rh2 0.750 0.250 0.500
Au1 0.250 0.750 0.500
Au2 0.500 0.500 0.000

Q: magnetic moment of number 3 (Mg2RhAu)?
A: 0.00 μB per cell

Q: What is the formula in the first record?
A: Al2CoNi9

Q: Which value of volume does entry 3 give?
A: 18.1 Å³ per atom